# SCAN PPdI3, single point on PBEsol structure
data_PPdI3
_space_group_name_H-M_alt 'P 1'
_space_group_IT_number 1
_cell_length_a 5.3351
_cell_length_b 5.3351
_cell_length_c 5.3351
_cell_angle_alpha 90.00
_cell_angle_beta 90.00
_cell_angle_gamma 90.00
loop_
_space_group_symop_operation_xyz
'x,y,z'
loop_
_atom_site_label
_atom_site_type_symbol
_atom_site_fract_x
_atom_site_fract_y
_atom_site_fract_z
_atom_site_occupancy
I1 I 0.5000 0.0000 0.0000 1
I2 I 0.0000 0.0000 0.5000 1
I3 I 0.0000 0.5000 0.0000 1
P1 P 0.5000 0.5000 0.5000 1
Pd1 Pd 0.0000 0.0000 0.0000 1
# Calculated volume = 152 Å³ per cell
# Crystal system = cubic
# ΔE_f (raw) = 605 meV per atom
# Raw total energy = -150.4 eV for the cell shown